# 1
The following is a DFT calculation (GGA-PBEsol) of an optimized crystal structure of Y2PtSe.

Cell: 3.954 3.954 20.893 Å, 90.00 90.00 120.00°
Atoms (fractional coordinates):
Y 0.000 0.000 0.245
Y 0.000 0.000 0.755
Y 0.333 0.667 0.422
Y 0.333 0.667 0.911
Y 0.667 0.333 0.089
Y 0.667 0.333 0.578
Pt 0.000 0.000 0.500
Pt 0.333 0.667 0.167
Pt 0.667 0.333 0.833
Se 0.000 0.000 0.000
Se 0.333 0.667 0.667
Se 0.667 0.333 0.333

Calculated values
Crystal system   trigonal
Formation energy without anion corrections   -1.4631 eV/atom
V   23.57 Å³ per atom

# 2
The following is a DFT calculation (GGA-PBEsol) of an optimized crystal structure of YPt2Se.

Cell: 3.882 4.735 8.015 Å, 90.00 90.00 90.00°
Atoms (fractional coordinates):
Y 0.000 0.000 0.000
Y 0.500 0.500 0.500
Pt 0.000 0.000 0.544
Pt 0.000 0.500 0.794
Pt 0.500 0.000 0.294
Pt 0.500 0.500 0.044
Se 0.000 0.500 0.236
Se 0.500 0.000 0.736

Calculated values
Crystal system   orthorhombic
Formation energy without anion corrections   -0.7238 eV/atom
V   18.42 Å³ per atom

> Which formula does entry 2 have?

YPt2Se

> Which of these has the highest formation energy without anion corrections?

YPt2Se

Copy entry 2 word for word.
The following is a DFT calculation (GGA-PBEsol) of an optimized crystal structure of YPt2Se.

Cell: 3.882 4.735 8.015 Å, 90.00 90.00 90.00°
Atoms (fractional coordinates):
Y 0.000 0.000 0.000
Y 0.500 0.500 0.500
Pt 0.000 0.000 0.544
Pt 0.000 0.500 0.794
Pt 0.500 0.000 0.294
Pt 0.500 0.500 0.044
Se 0.000 0.500 0.236
Se 0.500 0.000 0.736

Calculated values
Crystal system   orthorhombic
Formation energy without anion corrections   -0.7238 eV/atom
V   18.42 Å³ per atom

> Which value of formation energy without anion corrections does entry 1 give?

-1.4631 eV/atom